No. 1
# CeEr4Tm4 (GGA-PBE, relaxed)
# Size of the total moment (μB/cell): 1.0
# Formation enthalpy at 0 K (eV per atom): 0.04
# Symmetry: I4/mmm
# Theoretical density (g/cm³): 9.0
data_CeEr4Tm4
_symmetry_space_group_name_H-M 'P 1'
_symmetry_Int_Tables_number 1
_symmetry_space_group_name_Hall 'P 1'
_cell_length_a 7.8237
_cell_length_b 7.8237
_cell_length_c 7.8237
_cell_angle_alpha 95.77
_cell_angle_beta 95.77
_cell_angle_gamma 143.02
loop_
_atom_site_label
_atom_site_type_symbol
_atom_site_fract_x
_atom_site_fract_y
_atom_site_fract_z
Ce1 Ce 0.0000 0.0000 0.0000
Er1 Er 0.3343 0.3343 0.6686
Er2 Er 0.3343 0.6657 0.0000
Er3 Er 0.6657 0.3343 0.0000
Er4 Er 0.6657 0.6657 0.3314
Tm1 Tm 0.0000 0.3333 0.3333
Tm2 Tm 0.0000 0.6667 0.6667
Tm3 Tm 0.3333 0.0000 0.3333
Tm4 Tm 0.6667 0.0000 0.6667

=====

No. 2
# K2Cd4SnPb3 (GGA-PBE, relaxed)
# Size of the total moment (μB/cell): 0.0
# Formation enthalpy at 0 K (eV per atom): -0.10
# Symmetry: P-4m2
# Theoretical density (g/cm³): 6.6
data_K2Cd4SnPb3
_symmetry_space_group_name_H-M 'P 1'
_symmetry_Int_Tables_number 1
_symmetry_space_group_name_Hall 'P 1'
_cell_length_a 4.8901
_cell_length_b 4.8901
_cell_length_c 13.2764
_cell_angle_alpha 90.00
_cell_angle_beta 90.00
_cell_angle_gamma 90.00
loop_
_atom_site_label
_atom_site_type_symbol
_atom_site_fract_x
_atom_site_fract_y
_atom_site_fract_z
K1 K 0.0000 0.5000 0.2499
K2 K 0.5000 0.0000 0.7501
Cd1 Cd 0.0000 0.0000 0.0000
Cd2 Cd 0.0000 0.5000 0.6413
Cd3 Cd 0.5000 0.0000 0.3587
Cd4 Cd 0.5000 0.5000 0.0000
Sn1 Sn 0.0000 0.0000 0.5000
Pb1 Pb 0.0000 0.5000 0.8629
Pb2 Pb 0.5000 0.0000 0.1371
Pb3 Pb 0.5000 0.5000 0.5000